No. 1
5
Lattice="-1.902 -3.115 -1.109 1.322 -1.889 3.039 -3.031 1.131 2.021" Properties=species:S:1:pos:R:3 comment="MnGeC3 (PBE-GGA, optimized geometry)" energy_ev_per_atom=-6.43 total_magnetization_mub_per_fu=0.08 crystal_system=cubic formation_enthalpy_0k_ev_per_atom=1.864 pbc="T T T"
Ge -1.806 -1.937 1.975
Mn 0.000 0.000 0.000
C 0.661 -0.944 1.520
C -1.516 0.565 1.010
C -0.951 -1.558 -0.555

***

No. 2
10
Lattice="-7.369 -3.977 -2.506 3.972 -7.760 0.638 -1.288 -0.308 4.277" Properties=species:S:1:pos:R:3 comment="Tl2As2Cl (PBE-GGA, optimized geometry)" energy_ev_per_atom=-3.26 total_magnetization_mub_per_fu=0.00 raw_formation_energy_ev_per_atom=-0.08 crystal_system=tetragonal e_above_lowest_polymorph_kj_per_mol_atoms=21.5 pbc="T T T"
Tl 0.989 -7.323 -0.229
Tl -3.039 -8.639 -1.537
Tl -4.387 -4.414 -1.639
Tl -0.358 -3.098 -0.331
As 1.036 -5.090 2.289
As -1.377 -9.562 1.240
As -5.722 -6.955 0.120
As -3.308 -2.483 1.168
Cl 0.000 0.000 0.000
Cl -1.699 -5.869 -0.934

***

No. 3
5
Lattice="6.761 -0.033 0.000 4.617 4.938 0.000 -5.689 -2.453 2.707" Properties=species:S:1:pos:R:3 comment="Zn4Cd (PBE-GGA, optimized geometry)" energy_ev_per_atom=-1.10 total_magnetization_mub_per_fu=0.00 crystal_system=tetragonal e_above_lowest_polymorph_kj_per_mol_atoms=3.6 formation_enthalpy_0k_ev_per_atom=0.105 pbc="T T T"
Cd 0.000 0.000 0.000
Zn 2.309 2.469 1.353
Zn 4.538 1.956 0.000
Zn 6.840 2.949 0.000
Zn 3.380 -0.017 1.353

***

No. 4
4
Lattice="-2.626 5.352 -0.883 -4.212 1.306 -4.109 1.484 -3.985 4.271" Properties=species:S:1:pos:R:3 comment="ZrAg2Cl (PBE-GGA, optimized geometry)" energy_ev_per_atom=-4.06 total_magnetization_mub_per_fu=0.00 raw_formation_energy_ev_per_atom=-0.04 crystal_system=tetragonal e_above_lowest_polymorph_kj_per_mol_atoms=35.1 pbc="T T T"
Ag 0.000 0.000 0.000
Ag -3.419 3.329 -2.496
Cl -3.073 0.325 -1.167
Zr -2.281 2.348 0.446

***

No. 5
12
Lattice="3.842 0.000 0.000 0.000 3.842 0.000 0.000 0.000 11.515" Properties=species:S:1:pos:R:3 comment="CoIr9Rh2 (PBE-GGA, optimized geometry)" energy_ev_per_atom=-8.46 total_magnetization_mub_per_fu=0.13 crystal_system=tetragonal formation_enthalpy_0k_ev_per_atom=0.007 pbc="T T T"
Co 0.000 0.000 0.000
Ir 1.921 1.921 0.000
Ir 1.921 1.921 3.826
Ir 1.921 1.921 7.689
Ir 1.921 0.000 1.874
Ir 1.921 0.000 5.758
Ir 1.921 0.000 9.641
Ir 0.000 1.921 1.874
Ir 0.000 1.921 5.758
Ir 0.000 1.921 9.641
Rh 0.000 0.000 3.808
Rh 0.000 0.000 7.707

***

No. 6
5
Lattice="-1.683 5.007 0.140 -0.349 -0.265 5.265 3.463 1.156 0.288" Properties=species:S:1:pos:R:3 comment="FeSe2BrN (PBE-GGA, optimized geometry)" energy_ev_per_atom=-3.39 total_magnetization_mub_per_fu=3.61 raw_formation_energy_ev_per_atom=1.69 crystal_system=tetragonal e_above_lowest_polymorph_kj_per_mol_atoms=115.9 pbc="T T T"
N 1.732 0.578 0.144
Se -0.175 -0.133 2.633
Se -0.841 2.503 0.070
Br 0.000 0.000 0.000
Fe 0.716 2.949 2.847

***

No. 7
7
Lattice="-1.164 -1.911 -2.646 0.482 -3.849 4.836 -5.604 4.502 -0.785" Properties=species:S:1:pos:R:3 comment="Pu2Al3Zn2 (PBE-GGA, optimized geometry)" energy_ev_per_atom=-6.09 total_magnetization_mub_per_fu=0.00 crystal_system=monoclinic formation_enthalpy_0k_ev_per_atom=-0.025 pbc="T T T"
Pu -1.324 -3.408 0.774
Pu -4.962 2.150 0.630
Al -0.582 -0.955 -1.323
Al -2.995 0.282 -1.155
Al -3.291 -1.540 2.560
Zn -4.612 -0.900 0.410
Zn -1.674 -0.358 0.995

***

No. 8
22
Lattice="5.588 0.000 0.000 -2.794 4.778 0.000 0.000 0.000 25.400" Properties=species:S:1:pos:R:3 comment="CeEr6Tm4 (PBE-GGA, optimized geometry)" energy_ev_per_atom=-4.51 total_magnetization_mub_per_fu=0.78 crystal_system=orthorhombic e_above_lowest_polymorph_kj_per_mol_atoms=0.0 formation_enthalpy_0k_ev_per_atom=0.144 pbc="T T T"
Ce 2.794 3.078 6.350
Ce 0.000 1.700 19.050
Er 2.794 0.000 0.000
Er 2.794 0.000 12.700
Er 0.000 1.475 8.107
Er 2.794 3.303 17.292
Er 2.794 3.303 20.807
Er 0.000 1.475 4.593
Er 2.794 3.081 10.127
Er 0.000 1.697 15.272
Er 0.000 1.697 22.827
Er 2.794 3.081 2.572
Er 0.000 4.667 6.350
Er 2.794 0.111 19.050
Tm 2.794 3.224 13.745
Tm 0.000 4.650 3.097
Tm 0.000 1.554 11.655
Tm 2.794 0.128 22.302
Tm 2.794 3.224 24.354
Tm 0.000 1.554 1.045
Tm 2.794 0.128 15.797
Tm 0.000 4.650 9.603

***

| no. | V (Å³ per cell) |
| --- | --- |
| 1 | 56 |
| 2 | 342 |
| 3 | 91 |
| 4 | 79 |
| 5 | 170 |
| 6 | 102 |
| 7 | 124 |
| 8 | 678 |